# CdInRe2 (GGA-PBE, optimized geometry)
# Formation energy ... 0.639 eV/atom
# Space group ... Cm
# Energy above the lowest structure with this stoichiometry ... 0.406 eV/atom
data_CdInRe2
_cell_length_a 5.181
_cell_length_b 5.181
_cell_length_c 5.044
_cell_angle_alpha 78.04
_cell_angle_beta 78.04
_cell_angle_gamma 32.70
_space_group_name_H-M_alt 'P 1'
_space_group_IT_number 1
loop_
_space_group_symop_operation_xyz
'x,y,z'
loop_
_atom_site_label
_atom_site_type_symbol
_atom_site_fract_x
_atom_site_fract_y
_atom_site_fract_z
Re1 Re 0.019 0.019 0.985
Re2 Re 0.729 0.729 0.765
Cd1 Cd 0.488 0.488 0.510
In1 In 0.263 0.263 0.240

---

# Cd2InRe (GGA-PBE, optimized geometry)
# Formation energy ... 0.507 eV/atom
# Space group ... Cm
data_Cd2InRe
_cell_length_a 5.513
_cell_length_b 5.513
_cell_length_c 5.291
_cell_angle_alpha 80.92
_cell_angle_beta 80.92
_cell_angle_gamma 30.08
_space_group_name_H-M_alt 'P 1'
_space_group_IT_number 1
loop_
_space_group_symop_operation_xyz
'x,y,z'
loop_
_atom_site_label
_atom_site_type_symbol
_atom_site_fract_x
_atom_site_fract_y
_atom_site_fract_z
Re1 Re 0.270 0.270 0.292
Cd1 Cd 0.971 0.971 0.970
Cd2 Cd 0.732 0.732 0.794
In1 In 0.527 0.527 0.444

---

# CdInRe2 (GGA-PBE, optimized geometry)
# Formation energy ... 0.842 eV/atom
# Space group ... I4/mmm
# Energy above the lowest structure with this stoichiometry ... 0.609 eV/atom
data_CdInRe2
_cell_length_a 5.299
_cell_length_b 5.299
_cell_length_c 5.299
_cell_angle_alpha 136.20
_cell_angle_beta 136.20
_cell_angle_gamma 63.67
_space_group_name_H-M_alt 'P 1'
_space_group_IT_number 1
loop_
_space_group_symop_operation_xyz
'x,y,z'
loop_
_atom_site_label
_atom_site_type_symbol
_atom_site_fract_x
_atom_site_fract_y
_atom_site_fract_z
Re1 Re 0.000 0.000 0.000
Re2 Re 0.500 0.500 0.000
Cd1 Cd 0.250 0.750 0.500
In1 In 0.750 0.250 0.500

---

# Cd2InRe (GGA-PBE, optimized geometry)
# Formation energy ... 0.565 eV/atom
# Space group ... I4/mmm
data_Cd2InRe
_cell_length_a 5.561
_cell_length_b 5.561
_cell_length_c 5.561
_cell_angle_alpha 137.65
_cell_angle_beta 137.65
_cell_angle_gamma 61.43
_space_group_name_H-M_alt 'P 1'
_space_group_IT_number 1
loop_
_space_group_symop_operation_xyz
'x,y,z'
loop_
_atom_site_label
_atom_site_type_symbol
_atom_site_fract_x
_atom_site_fract_y
_atom_site_fract_z
Re1 Re 0.750 0.250 0.500
Cd1 Cd 0.000 0.000 0.000
Cd2 Cd 0.500 0.500 0.000
In1 In 0.250 0.750 0.500

---

# Cd2InRe (GGA-PBE, optimized geometry)
# Formation energy ... 0.584 eV/atom
# Space group ... P4/mmm
data_Cd2InRe
_cell_length_a 4.158
_cell_length_b 4.158
_cell_length_c 4.465
_cell_angle_alpha 90.00
_cell_angle_beta 90.00
_cell_angle_gamma 90.00
_space_group_name_H-M_alt 'P 1'
_space_group_IT_number 1
loop_
_space_group_symop_operation_xyz
'x,y,z'
loop_
_atom_site_label
_atom_site_type_symbol
_atom_site_fract_x
_atom_site_fract_y
_atom_site_fract_z
Re1 Re 0.000 0.500 0.500
Cd1 Cd 0.000 0.000 0.000
Cd2 Cd 0.500 0.500 0.000
In1 In 0.500 0.000 0.500

---

# CdInRe2 (GGA-PBE, optimized geometry)
# Formation energy ... 0.741 eV/atom
# Space group ... Immm
# Energy above the lowest structure with this stoichiometry ... 0.509 eV/atom
data_CdInRe2
_cell_length_a 5.547
_cell_length_b 5.547
_cell_length_c 5.547
_cell_angle_alpha 147.09
_cell_angle_beta 130.46
_cell_angle_gamma 60.77
_space_group_name_H-M_alt 'P 1'
_space_group_IT_number 1
loop_
_space_group_symop_operation_xyz
'x,y,z'
loop_
_atom_site_label
_atom_site_type_symbol
_atom_site_fract_x
_atom_site_fract_y
_atom_site_fract_z
Re1 Re 0.003 0.003 0.000
Re2 Re 0.497 0.497 0.000
Cd1 Cd 0.750 0.250 0.500
In1 In 0.250 0.750 0.500

---

# CdInRe2 (GGA-PBE, optimized geometry)
# Formation energy ... 0.718 eV/atom
# Space group ... P2/m
# Energy above the lowest structure with this stoichiometry ... 0.485 eV/atom
data_CdInRe2
_cell_length_a 4.839
_cell_length_b 2.845
_cell_length_c 5.198
_cell_angle_alpha 85.68
_cell_angle_beta 90.00
_cell_angle_gamma 90.00
_space_group_name_H-M_alt 'P 1'
_space_group_IT_number 1
loop_
_space_group_symop_operation_xyz
'x,y,z'
loop_
_atom_site_label
_atom_site_type_symbol
_atom_site_fract_x
_atom_site_fract_y
_atom_site_fract_z
Re1 Re 0.000 0.928 0.019
Re2 Re 0.000 0.572 0.481
Cd1 Cd 0.500 0.250 0.250
In1 In 0.500 0.750 0.750

---

# CdInRe4 (GGA-PBE, optimized geometry)
# Formation energy ... 0.581 eV/atom
# Space group ... F-43m
data_CdInRe4
_cell_length_a 5.307
_cell_length_b 5.307
_cell_length_c 5.307
_cell_angle_alpha 60.00
_cell_angle_beta 60.00
_cell_angle_gamma 60.00
_space_group_name_H-M_alt 'P 1'
_space_group_IT_number 1
loop_
_space_group_symop_operation_xyz
'x,y,z'
loop_
_atom_site_label
_atom_site_type_symbol
_atom_site_fract_x
_atom_site_fract_y
_atom_site_fract_z
Cd1 Cd 0.750 0.750 0.750
In1 In 0.000 0.000 0.000
Re1 Re 0.874 0.375 0.375
Re2 Re 0.375 0.375 0.874
Re3 Re 0.375 0.874 0.375
Re4 Re 0.375 0.375 0.375